(1)
Material: Er2IrOs3
Method: DFT, GGA-PBE
State: relaxed

```
Er2IrOs3
1.0
5.254 0.000 0.000
-2.627 4.550 0.000
0.000 0.000 8.936
Er Ir Os
4 2 6
Cartesian
0.000 3.034 0.608
0.000 3.034 3.860
2.627 1.517 5.076
2.627 1.517 8.327
0.000 0.000 0.000
0.000 0.000 4.468
0.000 1.557 6.702
-1.279 3.772 6.702
1.349 0.779 2.234
1.279 3.772 6.702
3.906 0.779 2.234
2.627 2.993 2.234
```

The space group is No. 194. Its formation energy is -281 kJ/mol of formula units.



(2)
Material: GdSnPO
Method: DFT, GGA-PBE
State: relaxed

```
GdSnPO
1.0
4.470 0.000 0.000
0.000 6.516 0.000
0.000 0.000 6.293
Gd Sn P O
2 2 2 2
Cartesian
0.000 1.025 0.000
0.000 5.491 3.147
2.235 1.890 2.313
2.235 4.626 5.459
2.235 1.957 4.885
2.235 4.559 1.738
0.000 0.921 2.248
0.000 5.595 5.395
```

As for the energy above the lowest structure with this stoichiometry: 0.147 eV/atom. The space group is No. 26.



(3)
Material: ZnSb
Method: DFT, GGA-PBE
State: relaxed

```
ZnSb
1.0
3.122 0.000 0.000
0.000 5.543 0.000
0.000 0.000 5.121
Zn Sb
2 2
Cartesian
0.781 1.386 1.170
2.342 4.157 3.951
0.781 4.157 1.360
2.342 1.386 3.761
```

The space group is No. 59. The total energy comes out at -2.592 eV per atom.